# 1
The following is a GGA-PBE calculation of a relaxed structure of Ga2Ni5, from the Alexandria database.

Summary:
Relative energy among the computed polymorphs = 0.00 kcal/mol of atoms
Magnetic moment = 0.00 μB/f.u.
Formation enthalpy at 0 K = -0.265 eV/atom
V = 327 Å³/cell

a b c (Å): 11.4657 4.2965 6.6545
angles (deg): 90.00 94.52 90.00
Space group C2/c (No. 15)
Unique sites:
Ga (0.0814, 0.1909, 0.1037) x8
Ni (0.0000, 0.3099, 0.7500) x4
Ni (0.1413, 0.3167, 0.4603) x8
Ni (0.2144, 0.1754, 0.8177) x8

***

# 2
The following is a GGA-PBE calculation of a relaxed structure of Ga4Ni, from the Alexandria database.

Summary:
Relative energy among the computed polymorphs = 0.00 kcal/mol of atoms
Magnetic moment = 0.00 μB/f.u.
Formation enthalpy at 0 K = -0.148 eV/atom
V = 987 Å³/cell

a b c (Å): 12.8413 11.5986 8.5030
angles (deg): 90.00 128.78 90.00
Space group C2/c (No. 15)
Unique sites:
Ga (0.0000, 0.1441, 0.2500) x4
Ga (0.0368, 0.3337, 0.0938) x8
Ga (0.0391, 0.1004, 0.9552) x8
Ga (0.1086, 0.4475, 0.7601) x8
Ga (0.2154, 0.2226, 0.8154) x8
Ga (0.2473, 0.0394, 0.3675) x8
Ga (0.2500, 0.2500, 0.5000) x4
Ni (0.0000, 0.2701, 0.7500) x4
Ni (0.1915, 0.0723, 0.5883) x8

***

# 3
The following is a GGA-PBE calculation of a relaxed structure of GaNi7, from the Alexandria database.

Summary:
Relative energy among the computed polymorphs = 0.00 kcal/mol of atoms
Magnetic moment = 3.05 μB/f.u.
Formation enthalpy at 0 K = -0.135 eV/atom
V = 358 Å³/cell

a b c (Å): 7.0977 7.0977 7.0977
angles (deg): 90.00 90.00 90.00
Space group Fm-3m (No. 225)
Unique sites:
Ga (0.0000, 0.0000, 0.0000) x4
Ni (0.0000, 0.0000, 0.5000) x4
Ni (0.0000, 0.2500, 0.2500) x24

***

# 4
The following is a GGA-PBE calculation of a relaxed structure of GaNi6, from the Alexandria database.

Summary:
Magnetic moment = 4.29 μB/f.u.
Formation enthalpy at 0 K = 0.940 eV/atom
V = 242 Å³/cell

a b c (Å): 6.2295 6.2295 6.2295
angles (deg): 90.00 90.00 90.00
Space group Im-3m (No. 229)
Unique sites:
Ga (0.0000, 0.0000, 0.0000) x2
Ni (0.0000, 0.2500, 0.5000) x12

***

# 5
The following is a GGA-PBE calculation of a relaxed structure of Ga7Ni3, from the Alexandria database.

Summary:
Magnetic moment = 0.00 μB/f.u.
Formation enthalpy at 0 K = -0.320 eV/atom
V = 609 Å³/cell

a b c (Å): 8.4768 8.4768 8.4768
angles (deg): 90.00 90.00 90.00
Space group Im-3m (No. 229)
Unique sites:
Ga (0.0000, 0.2500, 0.5000) x12
Ga (0.1608, 0.1608, 0.1608) x16
Ni (0.0000, 0.0000, 0.3500) x12

***

# 6
The following is a GGA-PBE calculation of a relaxed structure of GaNi7, from the Alexandria database.

Summary:
Relative energy among the computed polymorphs = 0.40 kcal/mol of atoms
Magnetic moment = 3.07 μB/f.u.
Formation enthalpy at 0 K = -0.118 eV/atom
V = 89 Å³/cell

a b c (Å): 5.0127 5.0127 4.1118
angles (deg): 90.00 90.00 120.00
Space group P-6m2 (No. 187)
Unique sites:
Ga (0.0000, 0.0000, 0.0000) x1
Ni (0.1695, 0.3390, 0.5000) x3
Ni (0.5008, 0.0017, 0.0000) x3
Ni (0.6667, 0.3333, 0.5000) x1